Crystalline TbAlCo2H8 at its relaxed geometry. Source: the Alexandria database, functional PBE-GGA.

Results
As for the symmetry: No. 148.

abc: 5.9269 5.9269 5.9269
angles: 43.35 43.35 43.35
Last column: nearest neighbours and their distance in Å.
Positions (direct):
Tb  0.0000  0.0000  0.0000  6 H 2.21
Al  0.5000  0.5000  0.5000  6 H 1.82
Co  0.1993  0.1993  0.1993  4 H 1.60-1.65
Co  0.8007  0.8007  0.8007  4 H 1.60-1.65
H  0.1066  0.8397  0.3972  1 Co 1.60
H  0.1603  0.6028  0.8934  1 Co 1.60
H  0.3022  0.3022  0.3022  1 Co 1.65
H  0.3972  0.1066  0.8397  1 Co 1.60
H  0.6028  0.8934  0.1603  1 Co 1.60
H  0.6978  0.6978  0.6978  1 Co 1.65
H  0.8397  0.3972  0.1066  1 Co 1.60
H  0.8934  0.1603  0.6028  1 Co 1.60

---

Crystalline TiAlCo2H at its relaxed geometry. Source: the Alexandria database, functional PBE-GGA.

Results
As for the symmetry: No. 123.

abc: 3.7824 3.7824 3.6622
angles: 90.00 90.00 90.00
Last column: nearest neighbours and their distance in Å.
Positions (direct):
Ti  0.0000  0.0000  0.0000  2 H 1.83
Al  0.5000  0.5000  0.0000  8 Co 2.63, 4 Ti 2.67
Co  0.0000  0.5000  0.5000  2 H 1.89
Co  0.5000  0.0000  0.5000  2 H 1.89
H  0.0000  0.0000  0.5000  2 Ti 1.83, 4 Co 1.89

---

VASP energy values, unit eV/cell, following the record order: -50.99 -30.87.
Calculated density values, unit Mg/m³, following the record order: 5.820 6.140.